Computed, not measured: a relaxed structure of LaPmSiGe at the GGA-PBE level of DFT.

Structure (POSCAR):
```
LaPmSiGe
1.0
-0.6596 -3.8707 3.4443
1.3120 -4.8899 -1.2838
4.1546 -2.2574 2.2190
La Si Pm Ge
1 1 1 1
Cartesian
2.4035 -5.5090 2.1898
3.6052 -8.2635 3.2847
0.0000 0.0000 0.0000
1.2017 -2.7545 1.0949
```

Summary:
* relative energy among the computed polymorphs: 288 meV/atom

Computed, not measured: a relaxed structure of LaYTmAl at the GGA-PBE level of DFT.

Structure (POSCAR):
```
LaYTmAl
1.0
5.4280 0.0000 0.0000
2.7140 4.7008 0.0000
2.7140 1.5669 4.4320
Tm Al Y La
1 1 1 1
Cartesian
0.0000 0.0000 0.0000
5.4280 3.1339 2.2160
8.1421 4.7008 3.3240
2.7140 1.5669 1.1080
```

Summary:
* relative energy among the computed polymorphs: 113 meV/atom

Computed, not measured: a relaxed structure of SrCaRu at the GGA-PBE level of DFT.

Structure (POSCAR):
```
SrCaRu
1.0
4.9061 0.0000 0.0000
-2.4530 4.2488 0.0000
0.0000 0.0000 3.8746
Ru Ca Sr
1 1 1
Cartesian
2.4530 1.4163 0.9065
0.0000 0.0000 0.4682
0.0000 2.8325 2.5000
```

Summary:
* relative energy among the computed polymorphs: 420 meV/atom

Computed, not measured: a relaxed structure of CeUFeOs at the GGA-PBE level of DFT.

Structure (POSCAR):
```
CeUFeOs
1.0
-1.0717 -3.6322 -2.4096
3.8774 -1.1207 -0.0353
-2.5651 -1.7245 3.7404
Ce Os Fe U
1 1 1 1
Cartesian
-0.8137 -2.8295 0.4463
1.7770 -1.1503 0.9435
-1.1122 -3.9183 2.2204
1.4164 -2.4654 3.0864
```

Summary:
* VASP energy: -37.0 eV for the cell shown

| no. | ρ (g/cm³) | DOS(E_F) (states/eV/cell) |
| --- | --- | --- |
| 1 | 6.3 | 5.17 |
| 2 | 6.2 | 6.25 |
| 3 | 4.7 | 1.72 |
| 4 | 13.0 | 7.30 |